1.
Here is a geometry-optimized PaClF3 structure from the Alexandria database. Energies are from GGA-PBE.

Values from the calculation:
Crystal system   monoclinic
Uncorrected formation energy   -3243 meV per atom
Distance to the lowest polymorph of the same formula   0.000 eV per atom
Volume   18.72 Å³/atom

Unit cell a=4.3432 b=4.4505 c=9.9388 alpha=92.76 beta=102.62 gamma=90.00
Fractional positions:
Pa (0.8431, 0.9613, 0.6862)
F (0.2863, 0.0566, 0.5726)
Pa (0.1569, 0.0387, 0.3138)
F (0.0661, 0.7857, 0.1321)
F (0.7137, 0.9434, 0.4274)
F (0.9339, 0.2143, 0.8679)
Cl (0.5885, 0.2772, 0.1771)
Cl (0.4115, 0.7228, 0.8229)
F (0.8071, 0.4567, 0.6141)
F (0.1929, 0.5433, 0.3859)


2.
Here is a geometry-optimized GaNi6Sb structure from the Alexandria database. Energies are from GGA-PBE.

Values from the calculation:
Crystal system   tetragonal
Uncorrected formation energy   -235 meV per atom
Distance to the lowest polymorph of the same formula   0.000 eV per atom
Volume   12.22 Å³/atom

Unit cell a=3.6646 b=3.6646 c=7.2775 alpha=90.00 beta=90.00 gamma=90.00
Fractional positions:
Ni (0.0000, 0.5000, 0.7405)
Ga (0.0000, 0.0000, 0.5000)
Ni (0.5000, 0.0000, 0.7405)
Sb (0.0000, 0.0000, 0.0000)
Ni (0.5000, 0.5000, 0.0000)
Ni (0.0000, 0.5000, 0.2595)
Ni (0.5000, 0.5000, 0.5000)
Ni (0.5000, 0.0000, 0.2595)


3.
Here is a geometry-optimized KLaPt2 structure from the Alexandria database. Energies are from GGA-PBE.

Values from the calculation:
Crystal system   monoclinic
ΔH_f (0 K)   -1.661 eV per formula unit
Volume   26.25 Å³/atom

Unit cell a=5.6244 b=5.6244 c=5.3749 alpha=74.05 beta=74.05 gamma=40.23
Fractional positions:
Pt (0.7066, 0.7066, 0.8346)
Pt (0.0082, 0.0082, 0.0024)
K (0.4928, 0.4928, 0.5167)
La (0.2924, 0.2924, 0.1463)


4.
Here is a geometry-optimized CaTlCdCu2 structure from the Alexandria database. Energies are from GGA-PBE.

Values from the calculation:
Crystal system   tetragonal
ΔH_f (0 K)   2.552 eV per formula unit
Volume   29.36 Å³/atom

Unit cell a=4.9967 b=5.8798 c=4.9967 alpha=90.00 beta=90.00 gamma=90.00
Fractional positions:
Cd (0.5000, 0.5000, 0.5000)
Cu (0.0000, 0.0000, 0.5000)
Cu (0.5000, 0.0000, 0.0000)
Ca (0.0000, 0.5000, 0.0000)
Tl (0.0000, 0.0000, 0.0000)


| no. | calculated density (g/cm3) | E_tot (eV per cell) | total magnetization (μB/atom) |
| --- | --- | --- | --- |
| 1 | 5.7 | -66.339 | 0.2000 |
| 2 | 9.2 | -43.720 | 0.0000 |
| 3 | 9.0 | -19.767 | 0.0000 |
| 4 | 5.5 | -10.924 | 0.0000 |